{
  "formula": "Co2Re2Br",
  "functional": "PBE-GGA",
  "state": "optimized geometry",
  "cell": [[-4.377, -0.976, 5.991], [-2.700, -6.302, -2.999], [1.958, -1.410, 1.201]],
  "species": ["Re", "Re", "Re", "Re", "Co", "Co", "Co", "Co", "Br", "Br"],
  "frac_coords": [[0.119, 0.619, 0.500], [0.619, 0.881, 0.500], [0.881, 0.381, 0.500], [0.381, 0.119, 0.500], [0.337, 0.837, 0.000], [0.837, 0.663, 0.000], [0.663, 0.163, 0.000], [0.163, 0.337, 0.000], [0.000, 0.000, 0.000], [0.500, 0.500, 0.000]],
  "raw_formation_energy_ev_per_atom": 0.7574,
  "e_above_lowest_polymorph_ev_per_atom": 0.0000,
  "volume_a3_per_atom": 15.09
}

=====

{
  "formula": "CoRe4Br",
  "functional": "PBE-GGA",
  "state": "optimized geometry",
  "cell": [[0.000, 3.691, 3.691], [3.691, 0.000, 3.691], [3.691, 3.691, 0.000]],
  "species": ["Co", "Re", "Re", "Re", "Re", "Br"],
  "frac_coords": [[0.000, 0.000, 0.000], [0.375, 0.875, 0.375], [0.875, 0.375, 0.375], [0.375, 0.375, 0.875], [0.375, 0.375, 0.375], [0.750, 0.750, 0.750]],
  "raw_formation_energy_ev_per_atom": 1.2643,
  "volume_a3_per_atom": 16.76
}

=====

{
  "formula": "CoReBr",
  "functional": "PBE-GGA",
  "state": "optimized geometry",
  "cell": [[6.238, 0.050, 0.000], [4.840, 3.936, 0.000], [-5.539, -1.993, 2.065]],
  "species": ["Br", "Co", "Re"],
  "frac_coords": [[0.019, 0.019, 0.000], [0.300, 0.300, 0.000], [0.681, 0.681, 0.000]],
  "raw_formation_energy_ev_per_atom": 0.8238,
  "e_above_lowest_polymorph_ev_per_atom": 0.0628,
  "volume_a3_per_atom": 16.73
}

=====

{
  "formula": "Co2ReBr",
  "functional": "PBE-GGA",
  "state": "optimized geometry",
  "cell": [[2.863, 0.000, 0.000], [0.000, 4.509, 0.000], [0.000, 0.000, 4.354]],
  "species": ["Br", "Co", "Co", "Re"],
  "frac_coords": [[0.000, 0.500, 0.500], [0.000, 0.000, 0.000], [0.500, 0.500, 0.000], [0.500, 0.000, 0.500]],
  "raw_formation_energy_ev_per_atom": 1.0472,
  "e_above_lowest_polymorph_ev_per_atom": 0.5614,
  "volume_a3_per_atom": 14.05
}

=====

{
  "formula": "Co2ReBr",
  "functional": "PBE-GGA",
  "state": "optimized geometry",
  "cell": [[-0.356, -2.096, -1.559], [0.860, -0.742, 2.379], [-10.126, -0.815, 3.408]],
  "species": ["Br", "Co", "Co", "Re"],
  "frac_coords": [[0.500, 0.500, 0.795], [0.000, 0.000, 0.060], [0.500, 0.500, 0.227], [0.000, 0.000, 0.418]],
  "raw_formation_energy_ev_per_atom": 0.8442,
  "e_above_lowest_polymorph_ev_per_atom": 0.3584,
  "volume_a3_per_atom": 17.41
}

=====

{
  "formula": "Co2ReBr",
  "functional": "PBE-GGA",
  "state": "optimized geometry",
  "cell": [[4.554, -0.024, 0.000], [-1.505, 4.298, 0.000], [0.000, 0.000, 2.784]],
  "species": ["Br", "Co", "Co", "Re"],
  "frac_coords": [[0.000, 0.500, 0.500], [0.000, 0.000, 0.000], [0.500, 0.500, 0.000], [0.500, 0.000, 0.500]],
  "raw_formation_energy_ev_per_atom": 0.9603,
  "e_above_lowest_polymorph_ev_per_atom": 0.4745,
  "volume_a3_per_atom": 13.60
}

=====

{
  "formula": "CoReSeBr2",
  "functional": "PBE-GGA",
  "state": "optimized geometry",
  "cell": [[-4.155, -2.308, -2.264], [3.048, -1.565, -3.998], [0.964, -3.985, 2.294]],
  "species": ["Re", "Co", "Se", "Br", "Br"],
  "frac_coords": [[0.000, 0.000, 0.000], [0.500, 0.500, 0.500], [0.000, 0.000, 0.500], [0.000, 0.500, 0.000], [0.500, 0.000, 0.000]],
  "raw_formation_energy_ev_per_atom": 1.0243,
  "e_above_lowest_polymorph_ev_per_atom": 0.0000,
  "volume_a3_per_atom": 26.05
}

=====

{
  "formula": "CoRh2Br",
  "functional": "PBE-GGA",
  "state": "optimized geometry",
  "cell": [[0.000, 3.115, 3.115], [3.115, 0.000, 3.115], [3.115, 3.115, 0.000]],
  "species": ["Co", "Rh", "Rh", "Br"],
  "frac_coords": [[0.000, 0.000, 0.000], [0.250, 0.250, 0.250], [0.750, 0.750, 0.750], [0.500, 0.500, 0.500]],
  "raw_formation_energy_ev_per_atom": 0.7358,
  "e_above_lowest_polymorph_ev_per_atom": 0.3063,
  "volume_a3_per_atom": 15.11
}

=====

no.,energy (eV per atom)
1,-7.399
2,-8.498
3,-6.252
4,-6.036
5,-6.239
6,-6.123
7,-4.253
8,-5.135